Material: PmTm5Sn4
Method: DFT, PBE
State: optimized geometry

Geometry as extended XYZ:
```
10
Lattice="8.795 -2.236 0.000 8.795 2.236 0.000 -1.645 0.000 7.677" Properties=species:S:1:pos:R:3 pbc="T T T"
Pm 0.000 0.000 0.000
Tm -0.822 0.000 3.839
Tm 3.987 0.000 5.271
Tm 5.896 0.000 2.122
Tm 10.050 0.000 5.555
Tm 11.958 0.000 2.406
Sn 3.303 0.000 0.114
Sn 6.939 0.000 5.490
Sn 9.006 0.000 2.187
Sn 12.643 0.000 7.564
```

## Properties
E_tot = -4.69 eV/atom
N(E_F) = 11.03 states/eV/cell